A relaxed structure of NbTlFeTe3, computed with PBE.

Cell: 9.129 3.710 10.485 Å, 90.00 112.29 90.00°
Last column: magnetic moment on the atom in μB.
Element x y z (fractional)
Te: 0.837 0.250 0.390  0.00
Te: 0.801 0.750 0.046  0.00
Te: 0.163 0.750 0.610  0.00
Te: 0.735 0.750 0.668  -0.02
Te: 0.265 0.250 0.332  -0.02
Te: 0.199 0.250 0.954  0.00
Tl: 0.477 0.250 0.786  0.00
Tl: 0.523 0.750 0.214  0.00
Fe: 0.979 0.750 0.900  2.33
Fe: 0.021 0.250 0.100  2.33
Nb: 0.031 0.750 0.309  -0.27
Nb: 0.969 0.250 0.691  -0.27

Values from the calculation:
- E: -5.3369 eV/atom
- Symmetry: P2_1/m (11)
- Energy above the most stable polymorph in this dataset: 0.000 eV per atom